First-principles (GGA+U) data for SmAl2WO8 after structural relaxation, as listed in Alexandria via LeMat-Bulk.

abc: 6.451 6.566 6.479
angles: 90.00 90.00 90.00
Space group Cmmm (No. 65)
Asymmetric unit:
Sm  0.000  0.000  0.000
Al  0.000  0.500  0.269
W  0.000  0.000  0.500
O  0.000  0.302  0.500
O  0.000  0.342  0.000
O  0.209  0.000  0.287

Summary:
Electronic total energy ... -0.545 Ry/atom
Volume ... 11.433 A^3/atom
ρ ... 6247 kg/m³
Crystal system ... orthorhombic